1.
Entry from Alexandria: a relaxed structure of FeCuPt3 (PBE). Values from VASP.

Geometry as Quantum ESPRESSO input:
```
&SYSTEM
  ibrav = 0, nat = 20, ntyp = 3
/
ATOMIC_SPECIES
Fe 55.84 Fe.upf
Cu 63.55 Cu.upf
Pt 195.08 Pt.upf
CELL_PARAMETERS angstrom
6.047 -3.873 0.000
6.047 3.873 0.000
-5.966 0.000 6.175
ATOMIC_POSITIONS crystal
Fe 0.120 0.880 0.750
Fe 0.372 0.628 0.250
Fe 0.628 0.372 0.750
Fe 0.880 0.120 0.250
Cu 0.172 0.421 0.445
Cu 0.421 0.172 0.945
Cu 0.579 0.828 0.055
Cu 0.828 0.579 0.555
Pt 0.027 0.774 0.355
Pt 0.080 0.325 0.048
Pt 0.226 0.973 0.145
Pt 0.278 0.533 0.841
Pt 0.325 0.080 0.548
Pt 0.467 0.722 0.659
Pt 0.533 0.278 0.341
Pt 0.675 0.920 0.452
Pt 0.722 0.467 0.159
Pt 0.774 0.027 0.855
Pt 0.920 0.675 0.952
Pt 0.973 0.226 0.645
```

As for the crystal system: monoclinic. The value obtained for the energy above the most stable polymorph in this dataset is 1.8 kJ per mole of atoms. The value obtained for the total magnetization is 14.7 μB per cell. The formation energy comes out at -78 kJ/mol of formula units. Its symmetry is No. 15.



2.
Entry from Alexandria: a relaxed structure of Nd2MgAg (PBE). Values from VASP.

Geometry as Quantum ESPRESSO input:
```
&SYSTEM
  ibrav = 0, nat = 4, ntyp = 3
/
ATOMIC_SPECIES
Nd 144.24 Nd.upf
Mg 24.30 Mg.upf
Ag 107.87 Ag.upf
CELL_PARAMETERS angstrom
3.855 0.000 0.000
0.000 3.855 0.000
0.000 0.000 7.464
ATOMIC_POSITIONS crystal
Nd 0.000 0.000 0.243
Nd 0.000 0.000 0.757
Mg 0.500 0.500 0.500
Ag 0.500 0.500 0.000
```

As for the crystal system: tetragonal. The value obtained for the energy above the most stable polymorph in this dataset is 0.0 kJ per mole of atoms. The value obtained for the total magnetization is 0.0 μB per cell. The formation energy comes out at -70 kJ/mol of formula units. Its symmetry is No. 123.



> Number 1 is which compound?

FeCuPt3



> Which formula does entry 2 have?

Nd2MgAg